# Tb3Sm5N8

A relaxed Tb3Sm5N8 crystal (PBE-GGA, the Alexandria database).

Values from the calculation:
**D(E_F)**: 1.5 states/eV per cell
**Total moment**: 0.00 μB/cell
**E**: -8.049 eV per atom

The structure in POSCAR format:
```
Tb3Sm5N8
1.0
6.170 0.000 3.534
2.073 5.811 3.534
0.024 0.017 7.111
Sm N Tb
5 8 3
Direct
0.500 0.500 0.000
0.000 0.000 0.000
0.000 0.500 0.000
0.500 0.000 0.000
0.500 0.500 0.500
0.248 0.248 0.255
0.754 0.250 0.746
0.752 0.752 0.745
0.246 0.750 0.254
0.250 0.250 0.746
0.750 0.246 0.254
0.750 0.750 0.254
0.250 0.754 0.746
0.000 0.500 0.500
0.000 0.000 0.500
0.500 0.000 0.500
```


# Ga5Ru4Au

A relaxed Ga5Ru4Au crystal (PBE-GGA, the Alexandria database).

Values from the calculation:
**D(E_F)**: 8.5 states/eV per cell
**Total moment**: 0.00 μB/cell
**E**: -5.816 eV per atom

The structure in POSCAR format:
```
Ga5Ru4Au
1.0
-2.471 -1.786 0.572
0.724 -0.037 3.016
-8.406 12.328 2.170
Ru Ga Au
4 5 1
Direct
0.000 0.000 0.402
0.000 0.000 0.598
0.000 0.000 0.202
0.000 0.000 0.798
0.500 0.500 0.884
0.500 0.500 0.116
0.500 0.500 0.695
0.500 0.500 0.305
0.500 0.500 0.500
0.000 0.000 0.000
```


# HfInF2

A relaxed HfInF2 crystal (PBE-GGA, the Alexandria database).

Values from the calculation:
**D(E_F)**: 6.9 states/eV per cell
**Distance to the lowest polymorph of the same formula**: 102 meV per atom
**Total moment**: 0.00 μB/cell

The structure in POSCAR format:
```
HfInF2
1.0
-0.697 0.722 -4.523
-2.179 -4.076 -0.315
-7.510 1.457 -0.983
In F Hf
2 4 2
Direct
0.250 0.750 0.500
0.500 0.500 0.000
0.375 0.145 0.750
0.895 0.625 0.250
0.875 0.105 0.750
0.855 0.125 0.250
0.750 0.250 0.500
0.000 0.000 0.000
```


# Nd5HoSc3

A relaxed Nd5HoSc3 crystal (PBE-GGA, the Alexandria database).

Values from the calculation:
**D(E_F)**: 29.8 states/eV per cell
**Total moment**: 0.00 μB/cell
**E**: -4.797 eV per atom

The structure in POSCAR format:
```
Nd5HoSc3
1.0
7.797 -1.296 1.656
0.888 7.853 1.656
4.075 3.077 11.798
Nd Sc Ho
10 6 2
Direct
0.667 0.667 0.084
0.575 0.061 0.657
0.425 0.939 0.343
0.061 0.575 0.657
0.939 0.425 0.343
0.333 0.333 0.916
0.254 0.746 0.000
0.338 0.338 0.420
0.746 0.254 0.000
0.662 0.662 0.580
0.335 0.335 0.166
0.000 0.000 0.000
0.665 0.665 0.834
0.000 0.000 0.500
0.671 0.671 0.328
0.329 0.329 0.672
0.000 0.000 0.748
0.000 0.000 0.252
```


# MgZr2ZnO

A relaxed MgZr2ZnO crystal (PBE-GGA, the Alexandria database).

Values from the calculation:
**D(E_F)**: 3.2 states/eV per cell
**Total moment**: 0.00 μB/cell
**E**: -5.979 eV per atom

The structure in POSCAR format:
```
MgZr2ZnO
1.0
4.477 0.000 0.000
0.000 4.477 0.000
0.000 0.000 4.192
Zr Mg O Zn
2 1 1 1
Direct
0.000 0.500 0.000
0.500 0.000 0.000
0.000 0.000 0.500
0.000 0.000 0.000
0.500 0.500 0.500
```


# ZrTa2Cl

A relaxed ZrTa2Cl crystal (PBE-GGA, the Alexandria database).

Values from the calculation:
**D(E_F)**: 4.2 states/eV per cell
**Distance to the lowest polymorph of the same formula**: 433 meV per atom
**Total moment**: 0.00 μB/cell

The structure in POSCAR format:
```
ZrTa2Cl
1.0
5.052 0.000 0.000
0.000 3.044 -0.018
0.000 0.182 5.014
Ta Cl Zr
2 1 1
Direct
0.000 0.898 0.009
0.000 0.602 0.491
0.500 0.750 0.750
0.500 0.250 0.250
```


> Which formula does entry 3 have?

HfInF2